Record 1
DFT (GGA-PBE) results for a geometry-optimized YAuS2 structure.

a = 4.1000 Å, b = 4.1000 Å, c = 6.3506 Å
α = 90.00°, β = 90.00°, γ = 120.00°
Closest atoms and distances in Å follow each position.
Sites, in units of the cell vectors:
S (0.0000, 0.0000, 0.2101)  1 Au 2.46, 3 Y 2.73
S (0.3333, 0.6667, 0.7544)  3 Au 2.57, 3 Y 2.82
Y (0.6667, 0.3333, 0.9955)  6 S 2.73-2.82
Au (0.0000, 0.0000, 0.5972)  4 S 2.46-2.57

## Properties
Its total DFT energy (no corrections) is -0.2088 Ha/atom. Its space-group type is No. 156.

Record 2
DFT (GGA-PBE) results for a geometry-optimized YAuS2 structure.

a = 4.0907 Å, b = 4.0907 Å, c = 6.3777 Å
α = 90.03°, β = 90.03°, γ = 59.96°
Closest atoms and distances in Å follow each position.
Sites, in units of the cell vectors:
S (0.1248, 0.1248, 0.8191)  1 Au 2.44, 3 Y 2.73
Y (0.4577, 0.4577, 0.6051)  6 S 2.73-2.81
Au (0.1216, 0.1216, 0.2011)  4 S 2.44-2.60
S (0.7911, 0.7911, 0.3675)  3 Au 2.57-2.60, 3 Y 2.80-2.81

## Properties
Its total DFT energy (no corrections) is -0.2088 Ha/atom. Its space-group type is No. 8.

Record 3
DFT (GGA-PBE) results for a geometry-optimized Zr3AuS structure.

a = 5.9663 Å, b = 5.9663 Å, c = 9.6163 Å
α = 90.00°, β = 90.00°, γ = 143.53°
Closest atoms and distances in Å follow each position.
Sites, in units of the cell vectors:
Zr (0.8583, 0.1417, 0.4408)  2 S 2.53
S (0.5000, 0.5000, 0.5000)  6 Zr 2.49-2.53
Au (0.7510, 0.2490, 0.7500)  6 Zr 2.86-2.90
Au (0.2490, 0.7510, 0.2500)  6 Zr 2.86-2.90
Zr (0.5573, 0.4427, 0.2500)  2 S 2.49
Zr (0.1417, 0.8583, 0.5592)  2 S 2.53
Zr (0.8583, 0.1417, 0.0592)  2 S 2.53
S (0.5000, 0.5000, 0.0000)  6 Zr 2.49-2.53
Zr (0.1417, 0.8583, 0.9408)  2 S 2.53
Zr (0.4427, 0.5573, 0.7500)  2 S 2.49

## Properties
Its total DFT energy (no corrections) is -0.2757 Ha/atom. Its space-group type is No. 63.

Record 4
DFT (GGA-PBE) results for a geometry-optimized ZrAuS2 structure.

a = 6.9622 Å, b = 6.9622 Å, c = 6.9622 Å
α = 130.10°, β = 130.10°, γ = 73.24°
Closest atoms and distances in Å follow each position.
Sites, in units of the cell vectors:
Au (0.0000, 0.0000, 0.0000)  4 S 2.52
S (0.3750, 0.8690, 0.9940)  2 Zr 2.48, 2 Au 2.52
Zr (0.2500, 0.7500, 0.5000)  4 S 2.48
S (0.6190, 0.6250, 0.4940)  2 Zr 2.48, 2 Au 2.52
S (0.1310, 0.1250, 0.5060)  2 Zr 2.48, 2 Au 2.52
Zr (0.5000, 0.5000, 0.0000)  4 S 2.48
Au (0.7500, 0.2500, 0.5000)  4 S 2.52
S (0.8750, 0.3810, 0.0060)  2 Zr 2.48, 2 Au 2.52

## Properties
Its total DFT energy (no corrections) is -0.2069 Ha/atom. Its space-group type is No. 122.

Record 5
DFT (GGA-PBE) results for a geometry-optimized Sb5Au4 structure.

a = 6.2724 Å, b = 6.2724 Å, c = 6.7897 Å
α = 90.00°, β = 90.00°, γ = 90.00°
Closest atoms and distances in Å follow each position.
Sites, in units of the cell vectors:
Au (0.7543, 0.7543, 0.2363)  5 Sb 2.74-2.85
Sb (0.5000, 0.0000, 0.5000)  4 Au 2.85, 2 Sb 3.14
Au (0.7543, 0.2457, 0.7637)  5 Sb 2.74-2.85
Au (0.2457, 0.2457, 0.2363)  5 Sb 2.74-2.85
Sb (0.0000, 0.5000, 0.0000)  4 Au 2.74
Au (0.2457, 0.7543, 0.7637)  5 Sb 2.74-2.85
Sb (0.0000, 0.0000, 0.5000)  4 Au 2.82, 4 Sb 3.14
Sb (0.0000, 0.5000, 0.5000)  4 Au 2.85, 2 Sb 3.14
Sb (0.5000, 0.0000, 0.0000)  4 Au 2.74

## Properties
The energy above the most stable polymorph in this dataset comes out at 0 meV per atom. Its space-group type is No. 111.

Record 6
DFT (GGA-PBE) results for a geometry-optimized Sb2Au9 structure.

a = 3.0405 Å, b = 3.0405 Å, c = 30.7456 Å
α = 90.00°, β = 90.00°, γ = 120.00°
Closest atoms and distances in Å follow each position.
Sites, in units of the cell vectors:
Au (0.3333, 0.6667, 0.4255)  12 Au 2.89-3.04
Au (0.6667, 0.3333, 0.3509)  12 Au 2.89-3.04
Au (0.0000, 0.0000, 0.2761)  12 Au 2.89-3.04
Au (0.6667, 0.3333, 0.5745)  12 Au 2.89-3.04
Au (0.0000, 0.0000, 0.5000)  12 Au 2.89-3.04
Au (0.3333, 0.6667, 0.6491)  12 Au 2.89-3.04
Au (0.6667, 0.3333, 0.8000)  9 Au 2.92-3.04, 3 Sb 2.99
Au (0.3333, 0.6667, 0.2001)  9 Au 2.92-3.04, 3 Sb 2.99
Sb (0.6667, 0.3333, 0.1212)  3 Au 2.99, 6 Sb 3.04
Au (0.0000, 0.0000, 0.7239)  12 Au 2.89-3.04
Sb (0.3333, 0.6667, 0.8788)  3 Au 2.99, 6 Sb 3.04

## Properties
Its total DFT energy (no corrections) is -0.1221 Ha/atom. Its space-group type is No. 164.

Record 7
DFT (GGA-PBE) results for a geometry-optimized SbAu9 structure.

a = 2.9376 Å, b = 2.9376 Å, c = 49.1509 Å
α = 90.00°, β = 90.00°, γ = 90.00°
Closest atoms and distances in Å follow each position.
Sites, in units of the cell vectors:
Au (0.5000, 0.0000, 0.3111)  12 Au 2.93-2.94
Au (0.5000, 0.0000, 0.2264)  12 Au 2.94-2.95
Au (0.5000, 0.0000, 0.8161)  12 Au 2.94-2.98
Au (0.5000, 0.0000, 0.4790)  12 Au 2.92-2.94
Au (0.0000, 0.5000, 0.4373)  12 Au 2.92-2.94
Au (0.0000, 0.5000, 0.8596)  8 Au 2.94-2.98, 4 Sb 3.13
Au (0.0000, 0.5000, 0.3533)  12 Au 2.93-2.94
Au (0.0000, 0.5000, 0.5210)  12 Au 2.92-2.94
Au (0.5000, 0.0000, 0.7312)  12 Au 2.94
Au (0.5000, 0.0000, 0.3952)  12 Au 2.93-2.94
Sb (0.5000, 0.0000, 0.9073)  4 Sb 2.94, 4 Au 3.13
Au (0.0000, 0.5000, 0.6048)  12 Au 2.93-2.94
Au (0.5000, 0.0000, 0.5627)  12 Au 2.92-2.94
Au (0.0000, 0.5000, 0.1839)  12 Au 2.94-2.98
Au (0.0000, 0.5000, 0.7736)  12 Au 2.94-2.95
Au (0.5000, 0.0000, 0.6467)  12 Au 2.93-2.94
Sb (0.0000, 0.5000, 0.0927)  4 Sb 2.94, 4 Au 3.13
Au (0.5000, 0.0000, 0.1404)  8 Au 2.94-2.98, 4 Sb 3.13
Au (0.0000, 0.5000, 0.6889)  12 Au 2.93-2.94
Au (0.0000, 0.5000, 0.2688)  12 Au 2.94

## Properties
The energy above the most stable polymorph in this dataset comes out at 5 meV per atom. Its space-group type is No. 129.

Record 8
DFT (GGA-PBE) results for a geometry-optimized SbAu10 structure.

a = 4.9582 Å, b = 4.9582 Å, c = 31.9607 Å
α = 90.65°, β = 90.65°, γ = 47.47°
Closest atoms and distances in Å follow each position.
Sites, in units of the cell vectors:
Au (0.6560, 0.6560, 0.3613)  12 Au 2.86-3.12
Au (0.5507, 0.5507, 0.7618)  9 Au 2.84-3.12, 2 Sb 2.96
Au (0.7453, 0.7453, 0.5769)  12 Au 2.86-3.11
Au (0.6443, 0.6443, 0.6681)  12 Au 2.86-3.12
Au (0.9466, 0.9466, 0.6994)  11 Au 2.87-3.10
Au (0.3557, 0.3557, 0.3319)  12 Au 2.86-3.12
Au (0.2547, 0.2547, 0.4231)  12 Au 2.86-3.11
Au (0.5538, 0.5538, 0.4540)  12 Au 2.86-3.12
Sb (0.1742, 0.1742, 0.8209)  6 Au 2.77-2.99
Au (0.2478, 0.2478, 0.7299)  11 Au 2.87-3.14, 1 Sb 2.99
Au (0.9561, 0.9561, 0.3933)  12 Au 2.86-3.10
Au (0.8687, 0.8687, 0.7979)  3 Sb 2.77-2.86, 3 Au 2.84-3.10
Au (0.4493, 0.4493, 0.2382)  9 Au 2.84-3.12, 2 Sb 2.96
Au (0.1490, 0.1490, 0.5153)  12 Au 2.86-3.11
Au (0.8510, 0.8510, 0.4847)  12 Au 2.86-3.11
Au (0.4462, 0.4462, 0.5460)  12 Au 2.86-3.12
Au (0.3440, 0.3440, 0.6387)  12 Au 2.86-3.12
Au (0.7522, 0.7522, 0.2701)  11 Au 2.87-3.14, 1 Sb 2.99
Au (0.0439, 0.0439, 0.6067)  12 Au 2.86-3.10
Au (0.0534, 0.0534, 0.3006)  11 Au 2.87-3.10
Sb (0.8258, 0.8258, 0.1791)  6 Au 2.77-2.99
Au (0.1313, 0.1313, 0.2021)  3 Sb 2.77-2.86, 3 Au 2.84-3.10

## Properties
Its total DFT energy (no corrections) is -0.1218 Ha/atom. Its space-group type is No. 12.

Record 9
DFT (GGA-PBE) results for a geometry-optimized Sb4Au5 structure.

a = 7.4460 Å, b = 5.0726 Å, c = 11.8299 Å
α = 90.00°, β = 102.16°, γ = 90.00°
Closest atoms and distances in Å follow each position.
Sites, in units of the cell vectors:
Sb (0.5207, 0.9550, 0.6442)  4 Au 2.73-2.80
Sb (0.9135, 0.3671, 0.6421)  4 Au 2.68-2.80
Sb (0.0865, 0.6329, 0.3579)  4 Au 2.68-2.80
Sb (0.5207, 0.5450, 0.1442)  4 Au 2.73-2.80
Au (0.7784, 0.3305, 0.3286)  4 Sb 2.72-2.80, 2 Au 2.82-2.87
Au (0.6712, 0.8376, 0.9944)  3 Sb 2.69-2.74, 2 Au 2.82-2.98
Au (0.6712, 0.6624, 0.4944)  3 Sb 2.69-2.74, 2 Au 2.82-2.98
Sb (0.4793, 0.0450, 0.3558)  4 Au 2.73-2.80
Au (0.3288, 0.1624, 0.0056)  3 Sb 2.69-2.74, 2 Au 2.82-2.98
Au (0.7784, 0.1695, 0.8286)  4 Sb 2.72-2.80, 2 Au 2.82-2.87
Au (0.2216, 0.6695, 0.6714)  4 Sb 2.72-2.80, 2 Au 2.82-2.87
Sb (0.9135, 0.1329, 0.1421)  4 Au 2.68-2.80
Sb (0.0865, 0.8671, 0.8579)  4 Au 2.68-2.80
Au (0.0000, 0.0000, 0.5000)  2 Sb 2.68, 4 Au 2.87-2.98
Sb (0.4793, 0.4550, 0.8558)  4 Au 2.73-2.80
Au (0.2216, 0.8305, 0.1714)  4 Sb 2.72-2.80, 2 Au 2.82-2.87
Au (0.0000, 0.5000, 0.0000)  2 Sb 2.68, 4 Au 2.87-2.98
Au (0.3288, 0.3376, 0.5056)  3 Sb 2.69-2.74, 2 Au 2.82-2.98

## Properties
Its total DFT energy (no corrections) is -0.1351 Ha/atom. Its space-group type is No. 14.

Record 10
DFT (GGA-PBE) results for a geometry-optimized SbAu9 structure.

a = 2.9641 Å, b = 3.9565 Å, c = 40.3211 Å
α = 90.00°, β = 90.00°, γ = 90.00°
Closest atoms and distances in Å follow each position.
Sites, in units of the cell vectors:
Au (0.5000, 0.5000, 0.2541)  12 Au 2.91-3.18
Au (0.5000, 0.5000, 0.6324)  12 Au 2.90-3.05
Au (0.5000, 0.5000, 0.7842)  11 Au 2.91-3.08, 1 Sb 3.18
Au (0.5000, 0.5000, 0.4055)  12 Au 2.90-3.05
Au (0.5000, 0.5000, 0.1752)  4 Sb 2.91, 7 Au 2.96-3.18
Au (0.0000, 0.0000, 0.4431)  12 Au 2.90-3.06
Au (0.5000, 0.5000, 0.3299)  12 Au 2.90-3.06
Au (0.0000, 0.0000, 0.3676)  12 Au 2.90-3.05
Au (0.0000, 0.0000, 0.5190)  12 Au 2.91-3.06
Au (0.0000, 0.0000, 0.8248)  4 Sb 2.91, 7 Au 2.96-3.18
Au (0.0000, 0.0000, 0.7459)  12 Au 2.91-3.18
Au (0.5000, 0.5000, 0.4810)  12 Au 2.91-3.06
Au (0.0000, 0.0000, 0.5945)  12 Au 2.90-3.05
Sb (0.0000, 0.0000, 0.1369)  5 Au 2.91-3.18, 2 Sb 2.96
Au (0.0000, 0.0000, 0.2158)  11 Au 2.91-3.08, 1 Sb 3.18
Au (0.5000, 0.5000, 0.7077)  12 Au 2.90-3.08
Au (0.5000, 0.5000, 0.5569)  12 Au 2.90-3.06
Au (0.0000, 0.0000, 0.6701)  12 Au 2.90-3.06
Au (0.0000, 0.0000, 0.2923)  12 Au 2.90-3.08
Sb (0.5000, 0.5000, 0.8631)  5 Au 2.91-3.18, 2 Sb 2.96

## Properties
The energy above the most stable polymorph in this dataset comes out at 0 meV per atom. Its space-group type is No. 59.

Record 11
DFT (GGA-PBE) results for a geometry-optimized Sb5Au4 structure.

a = 5.5545 Å, b = 5.5545 Å, c = 8.6820 Å
α = 90.00°, β = 90.00°, γ = 120.00°
Closest atoms and distances in Å follow each position.
Sites, in units of the cell vectors:
Sb (0.0000, 0.0000, 0.5000)  6 Au 2.78
Sb (0.3333, 0.6667, 0.8298)  4 Sb 2.96-3.21, 3 Au 3.28
Sb (0.6667, 0.3333, 0.8298)  4 Sb 2.96-3.21, 3 Au 3.28
Au (0.5000, 0.5000, 0.5000)  4 Au 2.78, 2 Sb 2.78
Sb (0.6667, 0.3333, 0.1702)  4 Sb 2.96-3.21, 3 Au 3.28
Au (0.0000, 0.5000, 0.5000)  4 Au 2.78, 2 Sb 2.78
Au (0.5000, 0.0000, 0.5000)  2 Sb 2.78, 4 Au 2.78
Au (0.0000, 0.0000, 0.0000)  12 Sb 3.53
Sb (0.3333, 0.6667, 0.1702)  4 Sb 2.96-3.21, 3 Au 3.28

## Properties
The energy above the most stable polymorph in this dataset comes out at 219 meV per atom. Its space-group type is No. 191.

Record 12
DFT (GGA-PBE) results for a geometry-optimized SbAu8 structure.

a = 4.9430 Å, b = 4.9430 Å, c = 27.1310 Å
α = 90.05°, β = 90.05°, γ = 47.88°
Closest atoms and distances in Å follow each position.
Sites, in units of the cell vectors:
Au (0.1489, 0.1489, 0.8008)  11 Au 2.86-3.14, 1 Sb 3.02
Sb (0.9396, 0.9396, 0.3065)  6 Au 2.77-3.02
Au (0.2529, 0.2529, 0.9087)  12 Au 2.86-3.09
Au (0.4456, 0.4456, 0.7633)  9 Au 2.87-3.16, 2 Sb 2.95
Au (0.6519, 0.6519, 0.9819)  12 Au 2.85-3.09
Au (0.1480, 0.1480, 0.1630)  11 Au 2.86-3.10
Au (0.8511, 0.8511, 0.1992)  11 Au 2.86-3.14, 1 Sb 3.02
Au (0.9522, 0.9522, 0.9464)  12 Au 2.86-3.10
Au (0.8520, 0.8520, 0.8370)  11 Au 2.86-3.10
Sb (0.0604, 0.0604, 0.6935)  6 Au 2.77-3.02
Au (0.3481, 0.3481, 0.0181)  12 Au 2.85-3.09
Au (0.0478, 0.0478, 0.0536)  12 Au 2.86-3.10
Au (0.2426, 0.2426, 0.2804)  3 Sb 2.77-2.83, 3 Au 2.88-3.06
Au (0.5544, 0.5544, 0.2367)  9 Au 2.87-3.16, 2 Sb 2.95
Au (0.7471, 0.7471, 0.0913)  12 Au 2.86-3.09
Au (0.4471, 0.4471, 0.1257)  12 Au 2.86-3.16
Au (0.7574, 0.7574, 0.7196)  3 Sb 2.77-2.83, 3 Au 2.88-3.06
Au (0.5529, 0.5529, 0.8743)  12 Au 2.86-3.16

## Properties
Its total DFT energy (no corrections) is -0.1223 Ha/atom. Its space-group type is No. 12.